No. 1
# NaCaNO2

A relaxed structure of NaCaNO2 (GGA-PBEsol, Alexandria).

Computed properties:
- Formation energy from raw total energies: 0.039 eV/atom
- SG: P4/mmm (123)
- V: 14.0 Å³/atom
- Final energy: -4.473 eV per atom

a b c (Å): 4.130 4.130 4.107
angles (deg): 90.00 90.00 90.00
Element x y z (fractional)
Na (0.000, 0.000, 0.000)
Ca (0.500, 0.500, 0.500)
N (0.000, 0.000, 0.500)
O (0.000, 0.500, 0.000)
O (0.500, 0.000, 0.000)



No. 2
# DyErAl2

A relaxed structure of DyErAl2 (GGA-PBEsol, Alexandria).

Computed properties:
- SG: Fm-3m (225)
- Calculated formation energy: -0.404 eV/atom
- V: 22.1 Å³/atom
- Final energy: -4.926 eV per atom

a b c (Å): 5.000 5.000 5.000
angles (deg): 60.00 60.00 60.00
Element x y z (fractional)
Dy (0.000, 0.000, 0.000)
Er (0.500, 0.500, 0.500)
Al (0.250, 0.250, 0.250)
Al (0.750, 0.750, 0.750)



No. 3
# Sr2TcIr

A relaxed structure of Sr2TcIr (GGA-PBEsol, Alexandria).

Computed properties:
- SG: Cmm2 (35)
- Calculated formation energy: 0.345 eV/atom
- V: 26.6 Å³/atom
- Final energy: -5.848 eV per atom

a b c (Å): 3.433 3.433 9.083
angles (deg): 90.00 90.00 95.85
Element x y z (fractional)
Sr (0.000, 0.000, 0.000)
Sr (0.500, 0.500, 0.409)
Tc (0.500, 0.500, 0.746)
Ir (0.000, 0.000, 0.653)



No. 4
# InCuPO2

A relaxed structure of InCuPO2 (GGA-PBEsol, Alexandria).

Computed properties:
- Formation energy from raw total energies: 0.000 eV/atom
- SG: P4/mmm (123)
- V: 13.2 Å³/atom
- Final energy: -4.722 eV per atom

a b c (Å): 3.769 3.769 4.649
angles (deg): 90.00 90.00 90.00
Element x y z (fractional)
In (0.000, 0.000, 0.000)
Cu (0.500, 0.500, 0.500)
P (0.500, 0.500, 0.000)
O (0.000, 0.500, 0.500)
O (0.500, 0.000, 0.500)



No. 5
# NbNiB

A relaxed structure of NbNiB (GGA-PBEsol, Alexandria).

Computed properties:
- SG: Cmcm (63)
- Calculated formation energy: -0.600 eV/atom
- V: 11.0 Å³/atom
- Final energy: -8.599 eV per atom

a b c (Å): 6.805 6.805 3.062
angles (deg): 90.00 90.00 152.21
Element x y z (fractional)
Nb (0.099, 0.901, 0.750)
Nb (0.901, 0.099, 0.250)
Ni (0.295, 0.705, 0.750)
Ni (0.705, 0.295, 0.250)
B (0.465, 0.535, 0.750)
B (0.535, 0.465, 0.250)



No. 6
# CaHfO2

A relaxed structure of CaHfO2 (GGA-PBEsol, Alexandria).

Computed properties:
- Formation energy from raw total energies: -2.573 eV/atom
- SG: R-3m (166)
- V: 15.9 Å³/atom
- Final energy: -8.356 eV per atom
- Distance to the lowest polymorph of the same formula: 0.00 eV/f.u.

a b c (Å): 6.430 6.430 6.430
angles (deg): 31.23 31.23 31.23
Element x y z (fractional)
Ca (0.000, 0.000, 0.000)
Hf (0.500, 0.500, 0.500)
O (0.122, 0.122, 0.122)
O (0.878, 0.878, 0.878)



No. 7
# BeSeCl2

A relaxed structure of BeSeCl2 (GGA-PBEsol, Alexandria).

Computed properties:
- Formation energy from raw total energies: -0.446 eV/atom
- SG: P4mm (99)
- V: 22.1 Å³/atom
- Final energy: -3.412 eV per atom
- Distance to the lowest polymorph of the same formula: 0.20 eV/f.u.

a b c (Å): 3.461 3.461 7.392
angles (deg): 90.00 90.00 90.00
Element x y z (fractional)
Be (0.000, 0.000, 0.000)
Se (0.500, 0.500, 0.082)
Cl (0.000, 0.000, 0.750)
Cl (0.500, 0.500, 0.377)



No. 8
# SrLi3

A relaxed structure of SrLi3 (GGA-PBEsol, Alexandria).

Computed properties:
- SG: Pnma (62)
- Calculated formation energy: 0.024 eV/atom
- V: 28.7 Å³/atom
- Final energy: -1.911 eV per atom

a b c (Å): 8.801 7.998 6.519
angles (deg): 90.00 90.00 90.00
Element x y z (fractional)
Sr (0.032, 0.250, 0.125)
Sr (0.468, 0.750, 0.625)
Sr (0.532, 0.250, 0.375)
Sr (0.968, 0.750, 0.875)
Li (0.120, 0.750, 0.355)
Li (0.170, 0.060, 0.591)
Li (0.170, 0.440, 0.591)
Li (0.330, 0.560, 0.091)
Li (0.330, 0.940, 0.091)
Li (0.380, 0.250, 0.855)
Li (0.620, 0.750, 0.145)
Li (0.670, 0.060, 0.909)
Li (0.670, 0.440, 0.909)
Li (0.830, 0.560, 0.409)
Li (0.830, 0.940, 0.409)
Li (0.880, 0.250, 0.645)



No. 9
# RbCd3Ir

A relaxed structure of RbCd3Ir (GGA-PBEsol, Alexandria).

Computed properties:
- SG: Pm-3m (221)
- Calculated formation energy: 0.072 eV/atom
- V: 28.4 Å³/atom
- Final energy: -2.816 eV per atom

a b c (Å): 5.217 5.217 5.217
angles (deg): 90.00 90.00 90.00
Element x y z (fractional)
Rb (0.000, 0.000, 0.000)
Cd (0.000, 0.500, 0.500)
Cd (0.500, 0.000, 0.500)
Cd (0.500, 0.500, 0.000)
Ir (0.500, 0.500, 0.500)



No. 10
# TiTlPO5

A relaxed structure of TiTlPO5 (GGA-PBEsol, Alexandria).

Computed properties:
- Formation energy from raw total energies: -2.352 eV/atom
- SG: Pnna (52)
- V: 13.8 Å³/atom
- Final energy: -7.726 eV per atom
- Distance to the lowest polymorph of the same formula: 0.03 eV/f.u.

a b c (Å): 12.917 10.556 6.470
angles (deg): 90.00 90.00 90.00
Element x y z (fractional)
Ti (0.000, 0.000, 0.000)
Ti (0.000, 0.500, 0.500)
Ti (0.120, 0.250, 0.250)
Ti (0.380, 0.750, 0.250)
Ti (0.500, 0.000, 0.000)
Ti (0.500, 0.500, 0.500)
Ti (0.620, 0.250, 0.750)
Ti (0.880, 0.750, 0.750)
Tl (0.145, 0.650, 0.953)
Tl (0.145, 0.850, 0.547)
Tl (0.355, 0.150, 0.547)
Tl (0.355, 0.350, 0.953)
Tl (0.645, 0.650, 0.047)
Tl (0.645, 0.850, 0.453)
Tl (0.855, 0.150, 0.453)
Tl (0.855, 0.350, 0.047)
P (0.069, 0.250, 0.750)
P (0.250, 0.000, 0.083)
P (0.250, 0.500, 0.417)
P (0.431, 0.750, 0.750)
P (0.569, 0.250, 0.250)
P (0.750, 0.000, 0.917)
P (0.750, 0.500, 0.583)
P (0.931, 0.750, 0.250)
O (0.004, 0.635, 0.290)
O (0.004, 0.865, 0.210)
O (0.027, 0.123, 0.205)
O (0.027, 0.377, 0.295)
O (0.136, 0.222, 0.559)
O (0.136, 0.278, 0.941)
O (0.153, 0.518, 0.554)
O (0.153, 0.982, 0.946)
O (0.238, 0.119, 0.220)
O (0.238, 0.381, 0.280)
O (0.262, 0.619, 0.280)
O (0.262, 0.881, 0.220)
O (0.347, 0.018, 0.946)
O (0.347, 0.482, 0.554)
O (0.364, 0.722, 0.941)
O (0.364, 0.778, 0.559)
O (0.473, 0.623, 0.295)
O (0.473, 0.877, 0.205)
O (0.496, 0.135, 0.210)
O (0.496, 0.365, 0.290)
O (0.504, 0.635, 0.710)
O (0.504, 0.865, 0.790)
O (0.527, 0.123, 0.795)
O (0.527, 0.377, 0.705)
O (0.636, 0.222, 0.441)
O (0.636, 0.278, 0.059)
O (0.653, 0.518, 0.446)
O (0.653, 0.982, 0.054)
O (0.738, 0.119, 0.780)
O (0.738, 0.381, 0.720)
O (0.762, 0.619, 0.720)
O (0.762, 0.881, 0.780)
O (0.847, 0.018, 0.054)
O (0.847, 0.482, 0.446)
O (0.864, 0.722, 0.059)
O (0.864, 0.778, 0.441)
O (0.973, 0.623, 0.705)
O (0.973, 0.877, 0.795)
O (0.996, 0.135, 0.790)
O (0.996, 0.365, 0.710)



The lowest final energy belongs to which entry? NbNiB



Number 8 is which compound? SrLi3